[1]
DFT (PBE) results for an optimized crystal structure of KZrO3.

Unit cell a=5.8504 b=5.8504 c=6.5592 alpha=63.51 beta=63.51 gamma=60.00
Closest atoms and distances in Å follow each position.
Fractional coordinates of all 10 atoms:
K1 0.6307 0.6307 0.1078  6 O 2.68-2.83
K2 0.3693 0.3693 0.8922  6 O 2.68-2.83
O1 0.9958 0.5601 0.2930  2 Zr 2.08-2.12
O2 0.1511 0.9957 0.2930  2 Zr 2.08-2.12
O3 0.5601 0.1511 0.2930  2 Zr 2.08-2.12
O4 0.4399 0.8489 0.7070  2 Zr 2.08-2.12
O5 0.8489 0.0042 0.7070  2 Zr 2.08-2.12
O6 0.0042 0.4399 0.7070  2 Zr 2.08-2.12
Zr1 0.8395 0.8395 0.4815  6 O 2.08-2.12
Zr2 0.1605 0.1605 0.5185  6 O 2.08-2.12

Summary:
- raw total energy (eV/cell) = -72.2
- total magnetization (μB/f.u.) = 1.0

---

[2]
DFT (PBE) results for an optimized crystal structure of K4Zr5O12.

Unit cell a=5.8465 b=5.8465 c=10.4885 alpha=90.00 beta=90.00 gamma=120.00
Closest atoms and distances in Å follow each position.
Fractional coordinates of all 21 atoms:
K1 0.0000 0.0000 0.1780  9 O 2.69-2.98
K2 0.3334 0.6667 0.3862  9 O 2.92-3.00
K3 0.6666 0.3333 0.6138  9 O 2.92-3.00
K4 0.0000 0.0000 0.8220  9 O 2.69-2.98
O1 0.9811 0.4905 0.1233  3 Zr 2.07-2.31
O2 0.5095 0.4905 0.1233  3 Zr 2.07-2.31
O3 0.5095 0.0189 0.1233  3 Zr 2.07-2.31
O4 0.8352 0.6704 0.3787  2 Zr 1.98-2.10
O5 0.8352 0.1648 0.3787  2 Zr 1.98-2.10
O6 0.3295 0.1648 0.3787  2 Zr 1.98-2.10
O7 0.6705 0.8352 0.6213  2 Zr 1.98-2.10
O8 0.1648 0.8352 0.6213  2 Zr 1.98-2.10
O9 0.1648 0.3296 0.6213  2 Zr 1.98-2.10
O10 0.4905 0.9811 0.8767  3 Zr 2.07-2.31
O11 0.4905 0.5095 0.8767  3 Zr 2.07-2.31
O12 0.0189 0.5095 0.8767  3 Zr 2.07-2.31
Zr1 0.3333 0.6667 0.0240  6 O 2.07-2.22
Zr2 0.6667 0.3333 0.2830  3 O 1.98
Zr3 0.0000 0.0000 0.5000  6 O 2.10
Zr4 0.3333 0.6667 0.7170  3 O 1.98
Zr5 0.6667 0.3333 0.9760  6 O 2.07-2.22

Summary:
- raw total energy (eV/cell) = -166.8
- total magnetization (μB/f.u.) = 0.0

---

[3]
DFT (PBE) results for an optimized crystal structure of K3P2Os.

Unit cell a=8.8743 b=8.8743 c=8.8743 alpha=127.07 beta=67.95 gamma=140.59
Closest atoms and distances in Å follow each position.
Fractional coordinates of all 12 atoms:
K1 0.8100 0.1920 0.0020  4 P 3.19-3.51, 2 Os 3.52
K2 0.6900 0.6920 0.3819  4 P 3.19-3.51, 2 Os 3.52
K3 0.7500 0.2500 0.5000  2 K 2.99, 4 P 3.31
K4 0.2500 0.7500 0.5000  2 K 2.99, 4 P 3.31
K5 0.3100 0.3080 0.6181  4 P 3.19-3.51, 2 Os 3.52
K6 0.1900 0.8080 0.9980  4 P 3.19-3.51, 2 Os 3.52
Os1 0.2500 0.2500 0.0000  4 P 2.33
Os2 0.7500 0.7500 0.0000  4 P 2.33
P1 0.4153 0.6612 0.0766  2 Os 2.33
P2 0.0847 0.1612 0.2459  2 Os 2.33
P3 0.9153 0.8388 0.7541  2 Os 2.33
P4 0.5847 0.3388 0.9234  2 Os 2.33

Summary:
- raw total energy (eV/cell) = -53.1
- total magnetization (μB/f.u.) = 0.8

---

[4]
DFT (PBE) results for an optimized crystal structure of KPaOs.

Unit cell a=4.8030 b=4.8030 c=4.8030 alpha=60.00 beta=60.00 gamma=60.00
Closest atoms and distances in Å follow each position.
Fractional coordinates of all 3 atoms:
K1 0.2500 0.2500 0.2500  4 Os 2.94
Os1 0.0000 0.0000 0.0000  4 K 2.94, 4 Pa 2.94
Pa1 0.7500 0.7500 0.7500  4 Os 2.94

Summary:
- raw total energy (eV/cell) = -18.7
- total magnetization (μB/f.u.) = 0.0

---

[5]
DFT (PBE) results for an optimized crystal structure of KOsPb.

Unit cell a=4.8488 b=4.8488 c=4.8488 alpha=60.00 beta=60.00 gamma=60.00
Closest atoms and distances in Å follow each position.
Fractional coordinates of all 3 atoms:
K1 0.2500 0.2500 0.2500  4 Os 2.97
Os1 0.0000 0.0000 0.0000  4 Pb 2.97, 4 K 2.97
Pb1 0.7500 0.7500 0.7500  4 Os 2.97

Summary:
- raw total energy (eV/cell) = -12.2
- total magnetization (μB/f.u.) = 0.6
- polymorph energy (0 for the lowest one) (meV/atom) = 0

---

[6]
DFT (PBE) results for an optimized crystal structure of KPuOs.

Unit cell a=4.8558 b=4.8558 c=4.8558 alpha=60.00 beta=60.00 gamma=60.00
Closest atoms and distances in Å follow each position.
Fractional coordinates of all 3 atoms:
K1 0.2500 0.2500 0.2500  4 Os 2.97
Os1 0.0000 0.0000 0.0000  4 K 2.97, 4 Pu 2.97
Pu1 0.7500 0.7500 0.7500  4 Os 2.97

Summary:
- raw total energy (eV/cell) = -23.1
- total magnetization (μB/f.u.) = 4.9

---

[7]
DFT (PBE) results for an optimized crystal structure of KReOs.

Unit cell a=4.8618 b=4.8618 c=8.1376 alpha=90.00 beta=90.00 gamma=120.00
Closest atoms and distances in Å follow each position.
Fractional coordinates of all 9 atoms:
K1 0.0000 0.0000 0.0000  5 Os 2.81-2.84
K2 0.6667 0.3333 0.3421  1 K 2.57, 4 Os 2.78-2.81
K3 0.6667 0.3333 0.6579  1 K 2.57, 4 Os 2.78-2.81
Os1 0.6667 0.3333 0.0000  5 K 2.78-2.81
Os2 0.0000 0.0000 0.3491  1 Os 2.46
Os3 0.0000 0.0000 0.6509  1 Os 2.46
Re1 0.3333 0.6667 0.1920  1 Re 2.51
Re2 0.3333 0.6667 0.5000  2 Re 2.51
Re3 0.3333 0.6667 0.8080  1 Re 2.51

Summary:
- raw total energy (eV/cell) = -53.6
- total magnetization (μB/f.u.) = 0.1
- polymorph energy (0 for the lowest one) (meV/atom) = 371

---

[8]
DFT (PBE) results for an optimized crystal structure of KReOs.

Unit cell a=4.4017 b=4.4017 c=4.4017 alpha=60.00 beta=60.00 gamma=60.00
Closest atoms and distances in Å follow each position.
Fractional coordinates of all 3 atoms:
K1 0.2500 0.2500 0.2500  4 Re 2.70
Os1 0.7500 0.7500 0.7500  4 Re 2.70
Re1 0.0000 0.0000 0.0000  4 Os 2.70, 4 K 2.70

Summary:
- raw total energy (eV/cell) = -19.0
- total magnetization (μB/f.u.) = 0.0
- polymorph energy (0 for the lowest one) (meV/atom) = 0

---

[9]
DFT (PBE) results for an optimized crystal structure of KOs2S6.

Unit cell a=6.5577 b=7.4275 c=8.5036 alpha=115.25 beta=92.82 gamma=105.52
Closest atoms and distances in Å follow each position.
Fractional coordinates of all 18 atoms:
K1 0.2077 0.4241 0.1177  8 S 3.03-3.34
K2 0.7923 0.5759 0.8823  8 S 3.03-3.34
Os1 0.6232 0.1771 0.2350  6 S 2.29-2.50
Os2 0.8396 0.8050 0.4315  6 S 2.28-2.48
Os3 0.1604 0.1950 0.5685  6 S 2.28-2.48
Os4 0.3768 0.8229 0.7650  6 S 2.29-2.50
S1 0.2858 0.0139 0.0603  2 Os 2.30-2.50
S2 0.7275 0.4633 0.1832  2 Os 2.29-2.39
S3 0.6364 0.8688 0.2347  2 Os 2.31-2.37
S4 0.1517 0.8861 0.3324  2 Os 2.28-2.30
S5 0.9894 0.3372 0.4061  1 S 2.22, 2 Os 2.44-2.45
S6 0.5048 0.3455 0.4925  1 S 2.26, 2 Os 2.30-2.48
S7 0.4952 0.6545 0.5075  1 S 2.26, 2 Os 2.30-2.48
S8 0.0106 0.6628 0.5939  1 S 2.22, 2 Os 2.44-2.45
S9 0.8483 0.1139 0.6676  2 Os 2.28-2.30
S10 0.3636 0.1312 0.7653  2 Os 2.31-2.37
S11 0.2725 0.5367 0.8168  2 Os 2.29-2.39
S12 0.7142 0.9861 0.9397  2 Os 2.30-2.50

Summary:
- raw total energy (eV/cell) = -101.8
- total magnetization (μB/f.u.) = 0.0

---

[10]
DFT (PBE) results for an optimized crystal structure of KOs3S5.

Unit cell a=5.7030 b=5.7030 c=6.8420 alpha=90.00 beta=90.00 gamma=120.00
Closest atoms and distances in Å follow each position.
Fractional coordinates of all 9 atoms:
K1 0.0000 0.0000 0.0000  14 S 3.42-3.73
Os1 0.5000 0.0000 0.5000  4 S 2.34
Os2 0.0000 0.5000 0.5000  4 S 2.34
Os3 0.5000 0.5000 0.5000  4 S 2.34
S1 0.6667 0.3333 0.2568  3 Os 2.34
S2 0.3333 0.6667 0.2568  3 Os 2.34
S3 0.0000 0.0000 0.5000  6 Os 2.85
S4 0.6667 0.3333 0.7432  3 Os 2.34
S5 0.3333 0.6667 0.7432  3 Os 2.34

Summary:
- raw total energy (eV/cell) = -56.3
- total magnetization (μB/f.u.) = 0.0

---

[11]
DFT (PBE) results for an optimized crystal structure of KTbOsS4.

Unit cell a=6.5611 b=6.5223 c=8.6674 alpha=90.00 beta=109.56 gamma=90.00
Closest atoms and distances in Å follow each position.
Fractional coordinates of all 14 atoms:
K1 0.2362 0.1194 0.0479  7 S 3.17-3.45
K2 0.7638 0.6194 0.9521  7 S 3.17-3.45
Os1 0.2842 0.6511 0.3560  4 S 2.23-2.35
Os2 0.7158 0.1511 0.6440  4 S 2.23-2.35
S1 0.4345 0.5695 0.1684  1 Os 2.23
S2 0.0155 0.3973 0.2913  1 Os 2.35
S3 0.9989 0.8776 0.2919  1 Os 2.30
S4 0.5099 0.9857 0.4094  1 Os 2.30
S5 0.4901 0.4857 0.5906  1 Os 2.30
S6 0.0011 0.3776 0.7081  1 Os 2.30
S7 0.9845 0.8973 0.7087  1 Os 2.35
S8 0.5655 0.0695 0.8316  1 Os 2.23
Tb1 0.7925 0.6337 0.4537  7 S 2.74-2.90
Tb2 0.2075 0.1337 0.5463  7 S 2.74-2.90

Summary:
- raw total energy (eV/cell) = -80.7
- total magnetization (μB/f.u.) = 0.0

---

[12]
DFT (PBE) results for an optimized crystal structure of K2ZrOsS6.

Unit cell a=6.5977 b=6.5977 c=13.7427 alpha=90.00 beta=90.00 gamma=120.00
Closest atoms and distances in Å follow each position.
Fractional coordinates of all 20 atoms:
K1 0.3333 0.6667 0.0664  6 S 3.16-3.48
K2 0.3333 0.6667 0.4336  6 S 3.16-3.48
K3 0.6667 0.3333 0.5664  6 S 3.16-3.48
K4 0.6667 0.3333 0.9336  6 S 3.16-3.48
Os1 0.0000 0.0000 0.2500  6 S 2.37
Os2 0.0000 0.0000 0.7500  6 S 2.37
S1 0.7982 0.1115 0.1389  1 Os 2.37, 1 Zr 2.55
S2 0.3134 0.2018 0.1389  1 Os 2.37, 1 Zr 2.55
S3 0.8885 0.6866 0.1389  1 Os 2.37, 1 Zr 2.55
S4 0.3134 0.1115 0.3611  1 Os 2.37, 1 Zr 2.55
S5 0.8885 0.2018 0.3611  1 Os 2.37, 1 Zr 2.55
S6 0.7982 0.6866 0.3611  1 Os 2.37, 1 Zr 2.55
S7 0.2018 0.3134 0.6389  1 Os 2.37, 1 Zr 2.55
S8 0.1115 0.7982 0.6389  1 Os 2.37, 1 Zr 2.55
S9 0.6866 0.8885 0.6389  1 Os 2.37, 1 Zr 2.55
S10 0.1115 0.3134 0.8611  1 Os 2.37, 1 Zr 2.55
S11 0.6866 0.7982 0.8611  1 Os 2.37, 1 Zr 2.55
S12 0.2018 0.8885 0.8611  1 Os 2.37, 1 Zr 2.55
Zr1 0.6667 0.3333 0.2500  6 S 2.55
Zr2 0.3333 0.6667 0.7500  6 S 2.55

Summary:
- raw total energy (eV/cell) = -108.7
- total magnetization (μB/f.u.) = 1.5